The following is a DFT calculation (PBE+U) of CsUCrO6 after structural relaxation.

Values from the calculation:
calculated volume	18.26	A^3/atom
uncorrected energy	-281.459	eV for the cell shown
excess energy over the best structure of this formula in the dataset	0	meV per atom
crystal system	monoclinic
spin magnetization	1.00	μB per formula unit

Cell lengths 7.5926, 8.4395, 10.6435 Å; angles 90.00, 105.45, 90.00 degrees
With the nearest neighbours (Å) after each atom.
Fractional coordinates of all 36 atoms:
O (0.4742, 0.1571, 0.0066)  1 Cr 1.85
U (0.4899, 0.5172, 0.6770)  2 O 1.84
U (0.5101, 0.4828, 0.3230)  2 O 1.84
O (0.2416, 0.5531, 0.6228)  1 U 1.84
O (0.7584, 0.4469, 0.3772)  1 U 1.84
Cs (0.9648, 0.2596, 0.1323)  7 O 3.06-3.39
O (0.8202, 0.8677, 0.5729)  1 Cr 1.62
O (0.5314, 0.4406, 0.1053)  2 Cr 1.89-1.91
O (0.5632, 0.7113, 0.2119)  1 Cr 1.85
O (0.2627, 0.9809, 0.7640)  1 U 1.84
O (0.5258, 0.6571, 0.4934)  1 Cr 1.85
O (0.7584, 0.0531, 0.8772)  1 U 1.84
Cr (0.3972, 0.1432, 0.4432)  1 O 1.62
O (0.4686, 0.5594, 0.8947)  2 Cr 1.89-1.91
O (0.4742, 0.3429, 0.5066)  1 Cr 1.85
O (0.7373, 0.0191, 0.2360)  1 U 1.84
O (0.4686, 0.9406, 0.3947)  2 Cr 1.89-1.91
U (0.4899, 0.9828, 0.1770)  2 O 1.84
O (0.1798, 0.3677, 0.9271)  1 Cr 1.62
O (0.1798, 0.1323, 0.4271)  1 Cr 1.62
Cr (0.6028, 0.6432, 0.0568)  1 O 1.62
O (0.4368, 0.2887, 0.7881)  1 Cr 1.85
O (0.5632, 0.7887, 0.7119)  1 Cr 1.85
Cs (0.0352, 0.7404, 0.8677)  7 O 3.06-3.39
Cs (0.9648, 0.2404, 0.6323)  7 O 3.06-3.39
Cr (0.6028, 0.8568, 0.5568)  1 O 1.62
O (0.8202, 0.6323, 0.0729)  1 Cr 1.62
U (0.5101, 0.0172, 0.8230)  2 O 1.84
O (0.5258, 0.8429, 0.9934)  1 Cr 1.85
O (0.2416, 0.9469, 0.1228)  1 U 1.84
O (0.5314, 0.0594, 0.6053)  2 Cr 1.89-1.91
Cs (0.0352, 0.7596, 0.3677)  7 O 3.06-3.39
Cr (0.3972, 0.3568, 0.9432)  1 O 1.62
O (0.7373, 0.4809, 0.7360)  1 U 1.84
O (0.4368, 0.2113, 0.2881)  1 Cr 1.85
O (0.2627, 0.5191, 0.2640)  1 U 1.84